(1)
Computed, not measured: a geometry-optimized Re4Mo2Ir3 structure at the PBE level of DFT.

## Properties
Space-group type: C2/c (15)
Density, g cm⁻³: 18.0
M_tot, μB/cell: 0.00
Formation energy from the elements, eV/atom: 0.179
Crystal system: monoclinic
Density of states at the Fermi level, states/eV per atom: 0.694

POSCAR file:
```
Re4Mo2Ir3
1.0
-0.5090 -3.4337 -3.7734
-0.6125 -5.0247 5.6571
-6.8459 3.1439 -0.9353
Re Mo Ir
8 4 6
Direct
0.5576 0.1768 0.0204
0.9424 0.9796 0.8232
0.4424 0.8232 0.9796
0.0576 0.0204 0.1768
0.8631 0.3601 0.3708
0.6369 0.6292 0.6399
0.1369 0.6399 0.6292
0.3631 0.3708 0.3601
0.6581 0.5528 0.1646
0.8419 0.8354 0.4472
0.3419 0.4472 0.8354
0.1581 0.1646 0.5528
0.0577 0.3343 0.0559
0.4423 0.9441 0.6657
0.9423 0.6657 0.9441
0.5577 0.0559 0.3343
0.7500 0.2846 0.7154
0.2500 0.7154 0.2846
```

(2)
Computed, not measured: a geometry-optimized ReMoIr4 structure at the PBE level of DFT.

## Properties
Space-group type: Cmcm (63)
Energy above the most stable polymorph in this dataset, eV/atom: 0.000
Density, g cm⁻³: 19.0
M_tot, μB/cell: 0.00
Formation energy from the elements, eV/atom: -0.005
Crystal system: orthorhombic
Density of states at the Fermi level, states/eV per atom: 1.082

POSCAR file:
```
ReMoIr4
1.0
-2.0339 2.3996 -3.2359
-4.7712 -0.4098 2.6951
-0.8462 6.0601 5.0260
Re Mo Ir
2 2 8
Direct
0.2500 0.3050 0.8901
0.7500 0.6950 0.1099
0.2500 0.8035 0.8929
0.7500 0.1965 0.1071
0.7499 0.2890 0.4233
0.7500 0.1042 0.7925
0.2499 0.2124 0.5767
0.2500 0.3967 0.2075
0.2501 0.7110 0.5767
0.7501 0.7876 0.4233
0.2500 0.8958 0.2075
0.7500 0.6033 0.7925
```